[1]
DFT (SCAN) results for a PBEsol-optimized structure of ZnSiAu2.

Calculated values
Formation energy from raw total energies: 1.060 kcal/mol of atoms
Total DFT energy (no corrections): -40.415 eV/atom

Geometry as extended XYZ:
```
4
Lattice="3.3202 0.0000 0.0000 0.0000 3.3202 0.0000 0.0000 0.0000 5.7109" Properties=species:S:1:pos:R:3 pbc="T T T"
Zn 0.0000 0.0000 0.0000
Si 0.0000 0.0000 2.8555
Au 1.6601 1.6601 1.4249
Au 1.6601 1.6601 4.2860
```

[2]
DFT (SCAN) results for a PBEsol-optimized structure of PtCl3.

Calculated values
Formation energy from raw total energies: 12.791 kcal/mol of atoms
Total DFT energy (no corrections): -22.977 eV/atom

Geometry as extended XYZ:
```
4
Lattice="2.8753 0.0000 0.0000 0.0000 3.2362 0.0000 0.0000 0.0000 8.6920" Properties=species:S:1:pos:R:3 pbc="T T T"
Pt 0.0000 0.0000 0.0000
Cl 0.0000 0.0000 4.3460
Cl 1.4376 1.6181 1.5337
Cl 1.4376 1.6181 7.1583
```

[3]
DFT (SCAN) results for a PBEsol-optimized structure of ZrFeBr2.

Calculated values
Formation energy from raw total energies: 1.357 kcal/mol of atoms
Energy above the most stable polymorph in this dataset: 0.0000 eV/atom
Total DFT energy (no corrections): -21.878 eV/atom

Geometry as extended XYZ:
```
4
Lattice="3.2182 0.0000 0.0000 0.0000 4.3110 0.0000 0.0000 0.0000 5.6294" Properties=species:S:1:pos:R:3 pbc="T T T"
Zr 0.0000 0.0000 0.0000
Fe 1.6091 0.0000 2.8147
Br 0.0000 2.1555 2.8147
Br 1.6091 2.1555 0.0000
```

[4]
DFT (SCAN) results for a PBEsol-optimized structure of KAsPdSe2.

Calculated values
Formation energy from raw total energies: 36.731 kcal/mol of atoms
Energy above the most stable polymorph in this dataset: 1.7803 eV/atom
Total DFT energy (no corrections): -18.697 eV/atom

Geometry as extended XYZ:
```
5
Lattice="5.3512 0.0000 0.0000 0.0000 5.3512 0.0000 0.0000 0.0000 5.1776" Properties=species:S:1:pos:R:3 pbc="T T T"
K 0.0000 0.0000 0.0000
As 0.0000 0.0000 2.5888
Pd 2.6756 2.6756 2.5888
Se 0.0000 2.6756 0.0000
Se 2.6756 0.0000 0.0000
```

[5]
DFT (SCAN) results for a PBEsol-optimized structure of Ru2RhW.

Calculated values
DFT formation energy: -0.1227 eV/atom
Energy above the most stable polymorph in this dataset: 0.0000 eV/atom
Total DFT energy (no corrections): -43.401 eV/atom

Geometry as extended XYZ:
```
4
Lattice="3.8183 0.0000 0.0000 0.0000 3.8183 0.0000 0.0000 0.0000 3.7997" Properties=species:S:1:pos:R:3 pbc="T T T"
Ru 0.0000 1.9091 0.0000
Ru 1.9091 0.0000 0.0000
Rh 0.0000 0.0000 1.8999
W 1.9091 1.9091 1.8999
```

[6]
DFT (SCAN) results for a PBEsol-optimized structure of LaZr2Zn.

Calculated values
DFT formation energy: 0.1017 eV/atom
Total DFT energy (no corrections): -29.403 eV/atom

Geometry as extended XYZ:
```
4
Lattice="1.6548 0.9554 9.5198 -1.6548 0.9554 9.5198 0.0000 -1.9108 9.5198" Properties=species:S:1:pos:R:3 pbc="T T T"
La 0.0000 0.0000 0.0000
Zr 0.0000 0.0000 6.8601
Zr 0.0000 0.0000 21.6992
Zn 0.0000 0.0000 14.2797
```

[7]
DFT (SCAN) results for a PBEsol-optimized structure of MgRuRh2.

Calculated values
DFT formation energy: -0.1464 eV/atom
Total DFT energy (no corrections): -26.982 eV/atom

Geometry as extended XYZ:
```
4
Lattice="4.5273 -1.3667 0.0000 4.5273 1.3667 0.0000 -0.8646 0.0000 4.5486" Properties=species:S:1:pos:R:3 pbc="T T T"
Mg 0.0000 0.0000 0.0000
Ru 6.6598 0.0000 1.4189
Rh 1.5320 0.0000 3.6131
Rh 4.1433 0.0000 2.2526
```

[8]
DFT (SCAN) results for a PBEsol-optimized structure of LaZnPt.

Calculated values
DFT formation energy: -1.0255 eV/atom
Total DFT energy (no corrections): -43.297 eV/atom

Geometry as extended XYZ:
```
3
Lattice="4.4040 0.0000 0.0000 -2.2020 3.8140 0.0000 0.0000 0.0000 3.8514" Properties=species:S:1:pos:R:3 pbc="T T T"
La 0.0000 0.0000 0.0000
Zn 2.2020 1.2713 1.9257
Pt 0.0000 2.5426 1.9257
```

[9]
DFT (SCAN) results for a PBEsol-optimized structure of Li5Pb.

Calculated values
DFT formation energy: -0.3022 eV/atom
Energy above the most stable polymorph in this dataset: 0.0159 eV/atom
Total DFT energy (no corrections): -14.924 eV/atom

Geometry as extended XYZ:
```
6
Lattice="5.1355 0.0000 0.0000 -2.5677 4.4475 0.0000 0.0000 0.0000 4.8857" Properties=species:S:1:pos:R:3 pbc="T T T"
Li -0.7998 1.3852 0.0000
Li 1.5995 0.0000 0.0000
Li 0.0000 2.9650 2.4429
Li 2.5677 1.4825 2.4429
Li 1.7680 3.0622 0.0000
Pb 0.0000 0.0000 2.4429
```

[10]
DFT (SCAN) results for a PBEsol-optimized structure of LiY2NiCl.

Calculated values
Formation energy from raw total energies: -5.215 kcal/mol of atoms
Total DFT energy (no corrections): -16.671 eV/atom

Geometry as extended XYZ:
```
5
Lattice="5.1370 0.0000 0.0000 0.0000 5.1370 0.0000 0.0000 0.0000 4.1318" Properties=species:S:1:pos:R:3 pbc="T T T"
Li 0.0000 0.0000 0.0000
Y 0.0000 2.5685 2.0659
Y 2.5685 0.0000 2.0659
Ni 2.5685 2.5685 0.0000
Cl 2.5685 2.5685 2.0659
```

[11]
DFT (SCAN) results for a PBEsol-optimized structure of BaTaI2O.

Calculated values
Formation energy from raw total energies: -26.436 kcal/mol of atoms
Total DFT energy (no corrections): -38.316 eV/atom

Geometry as extended XYZ:
```
5
Lattice="5.8492 0.0000 0.0000 0.0000 5.8492 0.0000 0.0000 0.0000 3.9299" Properties=species:S:1:pos:R:3 pbc="T T T"
Ba 0.0000 0.0000 0.0000
Ta 2.9246 2.9246 1.9650
I 0.0000 2.9246 1.9650
I 2.9246 0.0000 1.9650
O 2.9246 2.9246 0.0000
```

[12]
DFT (SCAN) results for a PBEsol-optimized structure of K2RbNa.

Calculated values
DFT formation energy: 0.0834 eV/atom
Energy above the most stable polymorph in this dataset: 0.0606 eV/atom
Total DFT energy (no corrections): -10.320 eV/atom

Geometry as extended XYZ:
```
8
Lattice="-2.9735 2.9735 15.0984 2.9735 -2.9735 15.0984 2.9735 2.9735 -15.0984" Properties=species:S:1:pos:R:3 pbc="T T T"
K 4.4602 1.3926 -3.7746
K 1.3926 1.4867 3.7746
K -1.4867 1.5809 11.3238
K 1.5809 1.4867 18.8730
Rb 2.9735 0.0000 7.5492
Rb 0.0000 0.0000 15.0984
Na 0.0000 0.0000 0.0000
Na 0.0000 2.9735 7.5492
```